Compound: CaNi2O4
Source: the Alexandria database
Functional: PBE+U
Structure: optimized geometry

The value obtained for the density of states at the Fermi level is 0.21 states/eV/f.u. The value obtained for the energy above the most stable polymorph in this dataset is 15.7 meV per atom.

Geometry as CIF:
```
data_CaNi2O4
_chemical_formula_sum 'Ca4 Ni8 O16'
_symmetry_space_group_name_H-M 'P b c m'
_symmetry_Int_Tables_number 57
_symmetry_space_group_name_Hall '-P 2c 2b'
_cell_length_a 3.121
_cell_length_b 9.821
_cell_length_c 9.567
_cell_angle_alpha 90.00
_cell_angle_beta 90.00
_cell_angle_gamma 90.00
loop_
_atom_site_label
_atom_site_type_symbol
_atom_site_fract_x
_atom_site_fract_y
_atom_site_fract_z
Ca1 Ca 0.207 0.148 0.250
Ni1 Ni 0.269 0.609 0.569
O1 O 0.121 0.250 0.000
O2 O 0.282 0.521 0.107
O3 O 0.292 0.687 0.750
```